A PBEsol-optimized structure of Rb2Na2SiO4, computed with meta-GGA SCAN.

Cell lengths 9.785, 10.877, 11.092 Å; angles 90.00, 90.00, 90.00 degrees
Fractional coordinates of all 72 atoms:
Rb 0.140 0.151 0.137
Rb 0.140 0.349 0.637
Rb 0.202 0.063 0.465
Rb 0.202 0.437 0.965
Rb 0.298 0.563 0.465
Rb 0.298 0.937 0.965
Rb 0.360 0.651 0.137
Rb 0.360 0.849 0.637
Rb 0.640 0.151 0.363
Rb 0.640 0.349 0.863
Rb 0.702 0.063 0.035
Rb 0.702 0.437 0.535
Rb 0.798 0.563 0.035
Rb 0.798 0.937 0.535
Rb 0.860 0.651 0.363
Rb 0.860 0.849 0.863
Na 0.035 0.749 0.093
Na 0.035 0.751 0.593
Na 0.092 0.049 0.746
Na 0.092 0.451 0.246
Na 0.408 0.549 0.746
Na 0.408 0.951 0.246
Na 0.465 0.249 0.093
Na 0.465 0.251 0.593
Na 0.535 0.749 0.407
Na 0.535 0.751 0.907
Na 0.592 0.049 0.754
Na 0.592 0.451 0.254
Na 0.908 0.549 0.754
Na 0.908 0.951 0.254
Na 0.965 0.249 0.407
Na 0.965 0.251 0.907
Si 0.159 0.695 0.819
Si 0.159 0.805 0.319
Si 0.341 0.195 0.819
Si 0.341 0.305 0.319
Si 0.659 0.695 0.681
Si 0.659 0.805 0.181
Si 0.841 0.195 0.681
Si 0.841 0.305 0.181
O 0.038 0.646 0.912
O 0.038 0.854 0.412
O 0.122 0.662 0.275
O 0.122 0.838 0.775
O 0.161 0.605 0.697
O 0.161 0.895 0.197
O 0.189 0.189 0.884
O 0.189 0.311 0.384
O 0.311 0.689 0.884
O 0.311 0.811 0.384
O 0.339 0.105 0.697
O 0.339 0.395 0.197
O 0.378 0.162 0.275
O 0.378 0.338 0.775
O 0.462 0.146 0.912
O 0.462 0.354 0.412
O 0.538 0.646 0.588
O 0.538 0.854 0.088
O 0.622 0.662 0.225
O 0.622 0.838 0.725
O 0.661 0.605 0.803
O 0.661 0.895 0.303
O 0.689 0.189 0.616
O 0.689 0.311 0.116
O 0.811 0.689 0.616
O 0.811 0.811 0.116
O 0.839 0.105 0.803
O 0.839 0.395 0.303
O 0.878 0.162 0.225
O 0.878 0.338 0.725
O 0.962 0.146 0.588
O 0.962 0.354 0.088

## Properties
DOS at the Fermi energy ... 0.0 states/eV/f.u.
SG ... Pbca (61)
Uncorrected formation energy ... -2.25 eV per atom

=====

A PBEsol-optimized structure of TaZnRe2, computed with meta-GGA SCAN.

Cell lengths 5.140, 5.140, 5.140 Å; angles 144.45, 129.07, 63.64 degrees
Fractional coordinates of all 4 atoms:
Ta 0.000 0.000 0.000
Zn 0.500 0.500 0.000
Re 0.243 0.743 0.500
Re 0.757 0.257 0.500

## Properties
DOS at the Fermi energy ... 2.2 states/eV/f.u.
SG ... Immm (71)
E_form ... 0.011 eV per atom

=====

A PBEsol-optimized structure of Mg2TiIn3S8, computed with meta-GGA SCAN.

Cell lengths 7.510, 7.510, 7.510 Å; angles 60.43, 60.43, 60.43 degrees
Fractional coordinates of all 14 atoms:
Mg 0.124 0.124 0.124
Mg 0.876 0.876 0.876
Ti 0.500 0.500 0.500
In 0.000 0.500 0.500
In 0.500 0.000 0.500
In 0.500 0.500 0.000
S 0.257 0.257 0.257
S 0.267 0.267 0.725
S 0.267 0.725 0.267
S 0.275 0.733 0.733
S 0.725 0.267 0.267
S 0.733 0.275 0.733
S 0.733 0.733 0.275
S 0.743 0.743 0.743

## Properties
DOS at the Fermi energy ... 1.6 states/eV/f.u.
SG ... R-3m (166)
Uncorrected formation energy ... -1.11 eV per atom

=====

A PBEsol-optimized structure of BaPH3, computed with meta-GGA SCAN.

Cell lengths 3.908, 3.908, 3.908 Å; angles 90.00, 90.00, 90.00 degrees
Fractional coordinates of all 5 atoms:
Ba 0.000 0.000 0.000
P 0.500 0.500 0.500
H 0.000 0.500 0.500
H 0.500 0.000 0.500
H 0.500 0.500 0.000

## Properties
DOS at the Fermi energy ... 1.6 states/eV/f.u.
Calculated total energy ... -12.038 eV per atom
SG ... Pm-3m (221)

=====

A PBEsol-optimized structure of ScBe3Pt, computed with meta-GGA SCAN.

Cell lengths 4.195, 4.195, 4.195 Å; angles 90.00, 90.00, 90.00 degrees
Fractional coordinates of all 5 atoms:
Sc 0.000 0.000 0.000
Be 0.000 0.500 0.500
Be 0.500 0.000 0.500
Be 0.500 0.500 0.000
Pt 0.500 0.500 0.500

## Properties
DOS at the Fermi energy ... 3.1 states/eV/f.u.
SG ... Pm-3m (221)
E_form ... -0.328 eV per atom

=====

A PBEsol-optimized structure of Cd3Ag, computed with meta-GGA SCAN.

Cell lengths 3.144, 4.157, 5.898 Å; angles 90.00, 90.00, 90.00 degrees
Fractional coordinates of all 4 atoms:
Cd 0.000 0.000 0.000
Cd 0.500 0.500 0.257
Cd 0.500 0.500 0.743
Ag 0.000 0.000 0.500

## Properties
DOS at the Fermi energy ... 1.0 states/eV/f.u.
SG ... Pmmm (47)
E_form ... -0.010 eV per atom

=====

A PBEsol-optimized structure of KRb2TaNb, computed with meta-GGA SCAN.

Cell lengths 5.602, 5.602, 5.856 Å; angles 90.00, 90.00, 90.00 degrees
Fractional coordinates of all 5 atoms:
K 0.000 0.000 0.000
Rb 0.000 0.500 0.000
Rb 0.500 0.000 0.000
Ta 0.500 0.500 0.500
Nb 0.000 0.000 0.500

## Properties
DOS at the Fermi energy ... 6.9 states/eV/f.u.
SG ... P4/mmm (123)
E_form ... 2.433 eV per atom

=====

A PBEsol-optimized structure of BaTa2W, computed with meta-GGA SCAN.

Cell lengths 2.978, 2.978, 10.389 Å; angles 90.00, 90.00, 113.13 degrees
Fractional coordinates of all 4 atoms:
Ba 0.000 0.000 0.000
Ta 0.500 0.500 0.299
Ta 0.500 0.500 0.701
W 0.000 0.000 0.500

## Properties
DOS at the Fermi energy ... 4.1 states/eV/f.u.
SG ... Cmmm (65)
E_form ... 0.745 eV per atom
ΔE to the lowest computed polymorph ... 0.00 kcal/mol of atoms

=====

A PBEsol-optimized structure of TiBe2Ir, computed with meta-GGA SCAN.

Cell lengths 3.983, 3.983, 3.983 Å; angles 60.00, 60.00, 60.00 degrees
Fractional coordinates of all 4 atoms:
Ti 0.000 0.000 0.000
Be 0.250 0.250 0.250
Be 0.750 0.750 0.750
Ir 0.500 0.500 0.500

## Properties
DOS at the Fermi energy ... 1.2 states/eV/f.u.
SG ... Fm-3m (225)
E_form ... -0.718 eV per atom
ΔE to the lowest computed polymorph ... 0.00 kcal/mol of atoms

=====

A PBEsol-optimized structure of SiGeBr2, computed with meta-GGA SCAN.

Cell lengths 6.309, 6.309, 6.309 Å; angles 104.96, 104.96, 118.92 degrees
Fractional coordinates of all 8 atoms:
Si 0.000 0.000 0.000
Si 0.750 0.250 0.500
Ge 0.250 0.750 0.500
Ge 0.500 0.500 0.000
Br 0.116 0.125 0.491
Br 0.375 0.884 0.009
Br 0.634 0.625 0.509
Br 0.875 0.366 0.991

## Properties
DOS at the Fermi energy ... 1.3 states/eV/f.u.
SG ... I-42d (122)
Uncorrected formation energy ... 0.43 eV per atom
ΔE to the lowest computed polymorph ... 1.64 kcal/mol of atoms

=====

A PBEsol-optimized structure of Er2Al3Co, computed with meta-GGA SCAN.

Cell lengths 5.417, 5.417, 8.396 Å; angles 90.00, 90.00, 120.00 degrees
Fractional coordinates of all 12 atoms:
Er 0.333 0.667 0.055
Er 0.333 0.667 0.445
Er 0.667 0.333 0.555
Er 0.667 0.333 0.945
Al 0.162 0.323 0.750
Al 0.162 0.838 0.750
Al 0.323 0.162 0.250
Al 0.677 0.838 0.750
Al 0.838 0.162 0.250
Al 0.838 0.677 0.250
Co 0.000 0.000 0.000
Co 0.000 0.000 0.500

## Properties
DOS at the Fermi energy ... 3.0 states/eV/f.u.
SG ... P6_3/mmc (194)
E_form ... -0.505 eV per atom
ΔE to the lowest computed polymorph ... 0.00 kcal/mol of atoms

=====

A PBEsol-optimized structure of Li2CaCd, computed with meta-GGA SCAN.

Cell lengths 11.015, 11.015, 11.015 Å; angles 157.03, 157.03, 32.71 degrees
Fractional coordinates of all 8 atoms:
Li 0.059 0.625 0.934
Li 0.375 0.309 0.434
Li 0.691 0.125 0.066
Li 0.875 0.941 0.566
Ca 0.250 0.750 0.500
Ca 0.500 0.500 0.000
Cd 0.000 0.000 0.000
Cd 0.750 0.250 0.500

## Properties
DOS at the Fermi energy ... 1.9 states/eV/f.u.
SG ... I-42d (122)
E_form ... -0.064 eV per atom
ΔE to the lowest computed polymorph ... 3.08 kcal/mol of atoms

=====

Question: Which formula does entry 1 have?
Answer: Rb2Na2SiO4

=====

Repeat the second record exactly.
A PBEsol-optimized structure of TaZnRe2, computed with meta-GGA SCAN.

Cell lengths 5.140, 5.140, 5.140 Å; angles 144.45, 129.07, 63.64 degrees
Fractional coordinates of all 4 atoms:
Ta 0.000 0.000 0.000
Zn 0.500 0.500 0.000
Re 0.243 0.743 0.500
Re 0.757 0.257 0.500

## Properties
DOS at the Fermi energy ... 2.2 states/eV/f.u.
SG ... Immm (71)
E_form ... 0.011 eV per atom

=====

Question: Which value of DOS at the Fermi energy does entry 8 give?
Answer: 4.1 states/eV/f.u.

=====

Question: Look up the DOS at the Fermi energy of the eleventh one.
Answer: 3.0 states/eV/f.u.